No. 1
Compound: ScHgRh2
Source: the Alexandria database
Functional: GGA-PBEsol
Structure: optimized geometry

## Properties
As for the space-group type: P4/mmm, No. 123. Its crystal system is tetragonal. The formation energy is -192 kJ/mol of formula units.

The structure in POSCAR format:
```
ScHgRh2
1.0
3.212 0.000 0.000
0.000 3.212 0.000
0.000 0.000 6.285
Hg Sc Rh
1 1 2
direct
0.500 0.500 0.500 Hg
0.500 0.500 0.000 Sc
0.000 0.000 0.240 Rh
0.000 0.000 0.760 Rh
```

No. 2
Compound: CuSbPb
Source: the Alexandria database
Functional: GGA-PBEsol
Structure: optimized geometry

## Properties
As for the space-group type: P3m1, No. 156. Its crystal system is trigonal. The value obtained for the formation energy (no corrections) is 79 meV/atom. For the energy above the lowest structure with this stoichiometry, the calculation gives 0.00 eV per formula unit.

The structure in POSCAR format:
```
CuSbPb
1.0
-4.078 0.693 -1.162
2.220 -3.225 -1.769
-1.416 -2.788 3.306
Pb Sb Cu
1 1 1
direct
0.667 0.333 0.716 Pb
0.333 0.667 0.202 Sb
0.000 0.000 0.082 Cu
```

No. 3
Compound: TiCo3
Source: the Alexandria database
Functional: GGA-PBEsol
Structure: optimized geometry

## Properties
As for the space-group type: Pm-3m, No. 221. Its crystal system is cubic. The formation energy is -108 kJ/mol of formula units.

The structure in POSCAR format:
```
TiCo3
1.0
-0.492 3.444 -0.559
0.218 -0.533 -3.476
-3.482 -0.520 -0.138
Co Ti
3 1
direct
0.500 0.000 0.500 Co
0.000 0.500 0.500 Co
0.500 0.500 0.000 Co
0.000 0.000 0.000 Ti
```

No. 4
Compound: RbNbSn2
Source: the Alexandria database
Functional: GGA-PBEsol
Structure: optimized geometry

## Properties
As for the space-group type: Fm-3m, No. 225. Its crystal system is cubic. The formation energy is 232 kJ/mol of formula units.

The structure in POSCAR format:
```
RbNbSn2
1.0
-2.204 -3.231 -3.482
-2.015 -4.569 1.577
-5.188 -0.711 0.006
Nb Sn Rb
1 2 1
direct
0.500 0.500 0.500 Nb
0.250 0.250 0.250 Sn
0.750 0.750 0.750 Sn
0.000 0.000 0.000 Rb
```

Number 1: size of the total moment 0.00 μB/f.u.. Number 2: size of the total moment 0.00 μB/f.u.. Number 3: size of the total moment 0.63 μB/f.u.. Number 4: size of the total moment 2.44 μB/f.u..